Computed, not measured: CeCo5C2 after structural relaxation at the PBE level of DFT. Values from VASP.

Structure (Quantum ESPRESSO input):
```
&SYSTEM
  ibrav = 0, nat = 8, ntyp = 3
/
ATOMIC_SPECIES
Co 58.93 Co.upf
C 12.01 C.upf
Ce 140.12 Ce.upf
CELL_PARAMETERS angstrom
-1.9668 0.8942 2.7592
-4.4873 -2.9390 -0.0207
0.1120 -3.9795 3.5951
ATOMIC_POSITIONS crystal
Co 0.3427 0.8576 0.4569
Co 0.6573 0.5431 0.1424
Co 0.0000 0.5000 0.5000
Co 0.3427 0.4569 0.8576
Co 0.6573 0.1424 0.5431
C 0.7659 0.7341 0.7341
C 0.2341 0.2659 0.2659
Ce 0.0000 0.0000 0.0000
```

## Properties
The value obtained for the formation energy from the elements is -0.020 eV/atom. Its volume is 10.7 Å³ per atom.